No. 1
A relaxed DyYRuAu crystal, computed with PBE.

The structure in POSCAR format:
```
DyYRuAu
1.0
7.0090 0.0000 0.0000
0.0000 7.0090 0.0000
0.0000 0.0000 7.0090
Dy Y Ru Au
4 4 4 4
Cartesian
0.0000 0.0000 0.0000
0.0000 3.5045 3.5045
3.5045 0.0000 3.5045
3.5045 3.5045 0.0000
0.0000 0.0000 3.5045
0.0000 3.5045 0.0000
3.5045 0.0000 0.0000
3.5045 3.5045 3.5045
1.7522 1.7522 5.2567
1.7522 5.2567 1.7522
5.2567 1.7522 1.7522
5.2567 5.2567 5.2567
1.7522 1.7522 1.7522
1.7522 5.2567 5.2567
5.2567 1.7522 5.2567
5.2567 5.2567 1.7522
```

Symmetry: F-43m (216)
E_form, meV per atom: -576
N(E_F), states/eV/f.u.: 2.16

No. 2
A relaxed Dy2Zn5Ru2Au crystal, computed with PBE.

The structure in POSCAR format:
```
Dy2Zn5Ru2Au
1.0
9.5296 0.0000 0.0000
0.0000 9.5296 0.0000
0.0000 0.0000 3.9341
Dy Zn Ru Au
4 10 4 2
Cartesian
1.6787 3.0861 0.0000
3.0861 7.8509 0.0000
6.4435 1.6787 0.0000
7.8509 6.4435 0.0000
0.0000 4.7648 1.9671
0.5544 7.6086 1.9671
1.9210 0.5544 1.9671
2.8438 5.3192 1.9671
4.2104 2.8438 1.9671
4.7648 0.0000 1.9671
5.3192 6.6859 1.9671
6.6859 4.2104 1.9671
7.6086 8.9752 1.9671
8.9752 1.9210 1.9671
1.1838 5.9486 0.0000
3.5810 1.1838 0.0000
5.9486 8.3458 0.0000
8.3458 3.5810 0.0000
0.0000 0.0000 0.0000
4.7648 4.7648 0.0000
```

Symmetry: P4/mbm (127)
E_form, meV per atom: -230
N(E_F), states/eV/f.u.: 6.93

No. 3
A relaxed DyZrRuAu crystal, computed with PBE.

The structure in POSCAR format:
```
DyZrRuAu
1.0
6.8598 0.0000 0.0000
0.0000 6.8598 0.0000
0.0000 0.0000 6.8598
Dy Zr Ru Au
4 4 4 4
Cartesian
0.0000 0.0000 0.0000
0.0000 3.4299 3.4299
3.4299 0.0000 3.4299
3.4299 3.4299 0.0000
0.0000 0.0000 3.4299
0.0000 3.4299 0.0000
3.4299 0.0000 0.0000
3.4299 3.4299 3.4299
1.7149 1.7149 1.7149
1.7149 5.1448 5.1448
5.1448 1.7149 5.1448
5.1448 5.1448 1.7149
1.7149 1.7149 5.1448
1.7149 5.1448 1.7149
5.1448 1.7149 1.7149
5.1448 5.1448 5.1448
```

Symmetry: F-43m (216)
E_form, meV per atom: -476
N(E_F), states/eV/f.u.: 4.73

No. 4
A relaxed DyAuS2 crystal, computed with PBE.

The structure in POSCAR format:
```
DyAuS2
1.0
4.1290 0.0000 0.0000
-2.0645 3.5758 0.0000
0.0000 0.0000 22.1073
Dy Au S
3 3 6
Cartesian
0.0000 0.0000 0.0000
0.0000 2.3839 14.7382
2.0645 1.1919 7.3691
0.0000 0.0000 11.0536
0.0000 2.3839 3.6846
2.0645 1.1919 18.4227
0.0000 0.0000 8.7474
0.0000 0.0000 13.3599
0.0000 2.3839 1.3783
0.0000 2.3839 5.9908
2.0645 1.1919 16.1165
2.0645 1.1919 20.7290
```

Symmetry: R-3m (166)
N(E_F), states/eV/f.u.: 0.00
Formation energy from raw total energies, eV per formula unit: -5.19

No. 5
A relaxed Dy3AuS2 crystal, computed with PBE.

The structure in POSCAR format:
```
Dy3AuS2
1.0
2.1249 -6.5229 0.0000
2.1249 6.5229 0.0000
0.0000 0.0000 10.4330
Dy Au S
6 2 4
Cartesian
2.1249 5.1925 7.8248
2.1249 1.8641 5.8119
2.1249 1.8641 9.8377
2.1249 -1.8641 0.5953
2.1249 -1.8641 4.6212
2.1249 -5.1925 2.6083
2.1249 3.3478 2.6083
2.1249 -3.3478 7.8248
0.0000 0.0000 0.0000
0.0000 0.0000 5.2165
2.1249 0.1785 7.8248
2.1249 -0.1785 2.6083
```

Symmetry: Cmcm (63)
N(E_F), states/eV/f.u.: 3.23
Formation energy from raw total energies, eV per formula unit: -8.06

No. 6
A relaxed Dy2AuS crystal, computed with PBE.

The structure in POSCAR format:
```
Dy2AuS
1.0
3.8967 0.0000 0.0000
-1.9483 3.3746 0.0000
0.0000 0.0000 21.5561
Dy Au S
6 3 3
Cartesian
0.0000 0.0000 5.2698
0.0000 0.0000 16.2863
0.0000 2.2498 9.1009
0.0000 2.2498 19.6405
1.9483 1.1249 1.9156
1.9483 1.1249 12.4552
0.0000 0.0000 0.0000
0.0000 2.2498 14.3708
1.9483 1.1249 7.1854
0.0000 0.0000 10.7781
0.0000 2.2498 3.5927
1.9483 1.1249 17.9634
```

Symmetry: R-3m (166)
N(E_F), states/eV/f.u.: 2.34
Formation energy from raw total energies, eV per formula unit: -5.44

No. 7
A relaxed Dy5AuS4 crystal, computed with PBE.

The structure in POSCAR format:
```
Dy5AuS4
1.0
6.6583 -1.9523 0.0000
6.6583 1.9523 0.0000
-4.9424 0.0000 8.5015
Dy Au S
5 1 4
Cartesian
0.0000 0.0000 0.0000
-1.3006 0.0000 6.8592
2.2580 0.0000 5.1436
6.1161 0.0000 3.3579
9.6748 0.0000 1.6423
-2.4712 0.0000 4.2508
1.2249 0.0000 2.5016
4.8552 0.0000 0.8204
3.5190 0.0000 7.6812
7.1493 0.0000 5.9999
```

Symmetry: C2/m (12)
N(E_F), states/eV/f.u.: 5.23
Formation energy from raw total energies, eV per formula unit: -17.42

No. 8
A relaxed Dy4AuS3 crystal, computed with PBE.

The structure in POSCAR format:
```
Dy4AuS3
1.0
8.1104 0.0000 0.0000
0.0000 11.3145 0.0000
0.0000 0.0000 3.9006
Dy Au S
8 2 6
Cartesian
0.0000 2.7721 0.0000
0.0000 8.5424 0.0000
1.9617 0.0000 1.9503
2.0935 5.6572 1.9503
4.0552 2.8851 0.0000
4.0552 8.4293 0.0000
6.0169 5.6572 1.9503
6.1488 0.0000 1.9503
0.0000 5.6572 0.0000
4.0552 0.0000 0.0000
0.0000 0.0000 0.0000
2.0276 2.8286 1.9503
2.0276 8.4859 1.9503
4.0552 5.6572 0.0000
6.0828 2.8286 1.9503
6.0828 8.4859 1.9503
```

Symmetry: Cmmm (65)
N(E_F), states/eV/f.u.: 4.96
Formation energy from raw total energies, eV per formula unit: -13.32

No. 9
A relaxed Dy4AuS5 crystal, computed with PBE.

The structure in POSCAR format:
```
Dy4AuS5
1.0
8.5944 -1.9540 0.0000
8.5944 1.9540 0.0000
-2.6387 0.0000 8.2218
Dy Au S
4 1 5
Cartesian
-0.6787 0.0000 2.3171
3.0884 0.0000 7.2287
11.4617 0.0000 0.9931
15.2288 0.0000 5.9047
8.5944 0.0000 0.0000
0.4170 0.0000 7.2356
1.9366 0.0000 2.5426
7.2750 0.0000 4.1109
12.6135 0.0000 5.6792
14.1330 0.0000 0.9863
```

Symmetry: C2/m (12)
N(E_F), states/eV/f.u.: 3.51
Formation energy from raw total energies, eV per formula unit: -16.90

No. 10
A relaxed Dy3AuS crystal, computed with PBE.

The structure in POSCAR format:
```
Dy3AuS
1.0
8.8519 0.0000 0.0000
0.0000 3.8274 0.0000
0.0000 0.0000 14.8013
Dy Au S
12 4 4
Cartesian
0.1088 0.9569 1.6076
1.4079 0.9569 8.1168
1.6003 2.8706 4.2800
2.8257 0.9569 11.6806
3.0180 2.8706 0.7161
4.3172 2.8706 9.0083
4.5348 0.9569 5.7930
5.8339 0.9569 14.0852
6.0262 2.8706 3.1207
7.2517 0.9569 10.5214
7.4440 2.8706 6.6846
8.7431 2.8706 13.1937
0.8174 2.8706 10.2834
3.6086 0.9569 2.8827
5.2433 2.8706 11.9186
8.0346 0.9569 4.5180
1.6040 0.9569 14.1204
2.8220 2.8706 6.7197
6.0299 0.9569 8.0816
7.2480 2.8706 0.6809
```

Symmetry: Pnma (62)
N(E_F), states/eV/f.u.: 2.62
Formation energy from raw total energies, eV per formula unit: -5.78

No. 11
A relaxed Dy6Au2S crystal, computed with PBE.

The structure in POSCAR format:
```
Dy6Au2S
1.0
6.5675 0.0000 0.0000
0.0000 7.2831 0.0000
-6.0714 0.0000 10.1562
Dy Au S
12 4 2
Cartesian
-1.9742 1.4229 4.4477
-5.0099 2.2187 9.5258
-0.8935 4.8963 4.4075
-3.9292 6.0284 9.4856
1.0749 0.2131 2.4920
-1.9608 3.4285 7.5701
2.4568 3.8547 2.5861
-0.5789 7.0700 7.6642
4.4253 1.2548 0.6706
1.3896 2.3868 5.7488
5.5059 5.0645 0.6304
2.4702 5.8602 5.7086
-3.3325 0.8088 7.4845
-0.2968 2.8327 2.4064
0.7929 4.4504 7.7499
3.8286 6.4743 2.6718
0.2480 0.0000 5.0781
3.2837 3.6416 0.0000
```

Symmetry: P2_1/c (14)
N(E_F), states/eV/f.u.: 9.19
Formation energy from raw total energies, eV per formula unit: -7.49

No. 12
A relaxed Dy2AuS crystal, computed with PBE.

The structure in POSCAR format:
```
Dy2AuS
1.0
3.8468 0.0000 0.0000
-1.9234 3.3314 0.0000
0.0000 0.0000 22.5252
Dy Au S
6 3 3
Cartesian
0.0000 0.0000 0.0000
0.0000 0.0000 3.6883
0.0000 2.2209 15.0168
0.0000 2.2209 18.7051
1.9234 1.1105 7.5084
1.9234 1.1105 11.1967
0.0000 0.0000 13.0814
0.0000 2.2209 5.5730
1.9234 1.1105 20.5898
0.0000 0.0000 16.9100
0.0000 2.2209 9.4016
1.9234 1.1105 1.8932
```

Symmetry: R3m (160)
N(E_F), states/eV/f.u.: 2.43
Formation energy from raw total energies, eV per formula unit: -5.04

No. 13
A relaxed Dy6AuS5 crystal, computed with PBE.

The structure in POSCAR format:
```
Dy6AuS5
1.0
3.4249 -5.9402 0.0000
3.4249 5.9402 0.0000
-2.2887 0.0000 6.4475
Dy Au S
6 1 5
Cartesian
-0.0294 2.0401 4.8115
1.0810 0.0000 1.6431
-0.0294 -2.0401 4.8115
4.5904 2.0401 1.6361
3.4800 0.0000 4.8044
4.5904 -2.0401 1.6361
3.4249 0.0000 0.0000
-1.1444 0.0000 3.2238
3.4249 3.9719 0.0000
2.2805 1.9739 3.2238
2.2805 -1.9739 3.2238
3.4249 -3.9719 0.0000
```

Symmetry: C2/m (12)
N(E_F), states/eV/f.u.: 4.78
Formation energy from raw total energies, eV per formula unit: -21.55

No. 14
A relaxed Dy2AuS crystal, computed with PBE.

The structure in POSCAR format:
```
Dy2AuS
1.0
3.9342 0.0000 0.0000
0.0000 22.6868 0.0000
0.0000 0.0000 4.1073
Dy Au S
8 4 4
Cartesian
0.0000 1.6298 1.0268
0.0000 7.1022 1.0268
0.0000 15.5846 3.0805
0.0000 21.0569 3.0805
1.9671 4.2412 3.0805
1.9671 9.7135 3.0805
1.9671 12.9732 1.0268
1.9671 18.4456 1.0268
0.0000 10.2968 1.0268
0.0000 12.3900 3.0805
1.9671 1.0466 3.0805
1.9671 21.6402 1.0268
0.0000 4.3760 1.0268
0.0000 18.3108 3.0805
1.9671 6.9674 3.0805
1.9671 15.7194 1.0268
```

Symmetry: Cmcm (63)
N(E_F), states/eV/f.u.: 1.98
Formation energy from raw total energies, eV per formula unit: -5.68

No. 15
A relaxed Dy6AuSe3S2 crystal, computed with PBE.

The structure in POSCAR format:
```
Dy6AuSe3S2
1.0
3.4988 -6.0565 0.0000
3.4988 6.0565 0.0000
-2.3339 0.0000 6.6293
Dy Au Se S
6 1 3 2
Cartesian
-0.0218 2.0678 5.0460
1.1143 0.0000 1.5786
-0.0218 -2.0678 5.0460
4.6856 2.0678 1.5834
3.5494 0.0000 5.0507
4.6856 -2.0678 1.5834
3.4988 0.0000 0.0000
-1.1669 0.0000 3.3147
2.3319 2.0138 3.3147
2.3319 -2.0138 3.3147
3.4988 4.0464 0.0000
3.4988 -4.0464 0.0000
```

Symmetry: C2/m (12)
N(E_F), states/eV/f.u.: 4.91
Formation energy from raw total energies, eV per formula unit: -20.30

No. 16
A relaxed Dy6Au2Se3S crystal, computed with PBE.

The structure in POSCAR format:
```
Dy6Au2Se3S
1.0
9.1708 -1.9942 0.0000
9.1708 1.9942 0.0000
-2.6150 0.0000 7.9633
Dy Au Se S
6 2 3 1
Cartesian
-0.5083 0.0000 1.9237
3.8121 0.0000 7.0975
5.2168 0.0000 3.1364
10.5098 0.0000 4.8269
11.9146 0.0000 0.8658
16.2349 0.0000 6.0397
2.3196 0.0000 2.9560
13.4070 0.0000 5.0073
0.7105 0.0000 6.8199
7.8633 0.0000 3.9817
15.0161 0.0000 1.1434
9.1708 0.0000 0.0000
```

Symmetry: C2/m (12)
N(E_F), states/eV/f.u.: 5.14
Formation energy from raw total energies, eV per formula unit: -17.71

No. 17
A relaxed Dy8AuSe4S3 crystal, computed with PBE.

The structure in POSCAR format:
```
Dy8AuSe4S3
1.0
4.0182 2.3199 6.6400
-4.0182 2.3199 6.6400
0.0000 -4.6399 6.6400
Dy Au Se S
8 1 4 3
Cartesian
-2.0485 -1.1827 11.5336
0.0000 0.0000 4.8243
0.0000 -2.3654 8.3865
-2.0485 1.1827 8.3865
2.0485 -1.1827 11.5336
0.0000 2.3654 11.5336
0.0000 0.0000 15.0958
2.0485 1.1827 8.3865
0.0000 0.0000 9.9601
0.0000 0.0000 0.0000
-2.0091 -1.1600 6.6400
-2.0091 1.1600 13.2801
0.0000 2.3199 6.6400
-4.0182 0.0000 9.9601
-2.0091 1.1600 3.3200
2.0091 1.1600 3.3200
```

Symmetry: R-3m (166)
N(E_F), states/eV/f.u.: 6.71
Formation energy from raw total energies, eV per formula unit: -27.68

No. 18
A relaxed Dy6AuSe2S3 crystal, computed with PBE.

The structure in POSCAR format:
```
Dy6AuSe2S3
1.0
3.4710 -6.0162 0.0000
3.4710 6.0162 0.0000
-2.3141 0.0000 6.5469
Dy Au Se S
6 1 2 3
Cartesian
-0.0030 2.0157 4.9917
1.1578 0.0000 1.5306
-0.0030 -2.0157 4.9917
4.6309 2.0157 1.5552
3.4700 0.0000 5.0163
4.6309 -2.0157 1.5552
-1.1571 0.0000 3.2734
2.3139 1.9865 3.2734
2.3139 -1.9865 3.2734
3.4710 3.9779 0.0000
3.4710 0.0000 0.0000
3.4710 -3.9779 0.0000
```

Symmetry: C2/m (12)
N(E_F), states/eV/f.u.: 4.72
Formation energy from raw total energies, eV per formula unit: -20.65

No. 19
A relaxed Dy4AuSe2S crystal, computed with PBE.

The structure in POSCAR format:
```
Dy4AuSe2S
1.0
7.1191 0.0000 0.0000
0.0000 3.9779 0.0000
-2.2844 0.0000 6.7641
Dy Au Se S
4 1 2 1
Cartesian
1.1556 0.0000 1.6222
0.0124 1.9889 5.0789
4.8223 1.9889 1.6853
3.6791 0.0000 5.1419
-1.1422 0.0000 3.3821
3.5596 0.0000 0.0000
2.4174 1.9889 3.3821
0.0000 1.9889 0.0000
```

Symmetry: P2/m (10)
N(E_F), states/eV/f.u.: 5.05
Formation energy from raw total energies, eV per formula unit: -12.56

No. 20
A relaxed Dy8Te4Au3S crystal, computed with PBE.

The structure in POSCAR format:
```
Dy8Te4Au3S
1.0
4.1938 2.4213 7.1714
-4.1938 2.4213 7.1714
0.0000 -4.8425 7.1714
Dy Te Au S
8 4 3 1
Cartesian
0.0000 0.0000 5.1856
-2.0714 -1.1959 12.3665
0.0000 -2.3918 9.1476
-2.0714 1.1959 9.1476
2.0714 -1.1959 12.3665
0.0000 2.3918 12.3665
2.0714 1.1959 9.1476
0.0000 0.0000 16.3285
0.0000 0.0000 0.0000
-2.0969 -1.2106 7.1714
-2.0969 1.2106 14.3427
0.0000 2.4213 7.1714
-4.1937 0.0000 10.7570
-2.0969 1.2106 3.5857
2.0969 1.2106 3.5857
0.0000 0.0000 10.7571
```

Symmetry: R-3m (166)
N(E_F), states/eV/f.u.: 12.16
Formation energy from raw total energies, eV per formula unit: -18.96

| no. | raw total energy (eV for the cell shown) |
| --- | --- |
| 1 | -103.69 |
| 2 | -79.40 |
| 3 | -110.43 |
| 4 | -63.96 |
| 5 | -66.79 |
| 6 | -66.14 |
| 7 | -60.21 |
| 8 | -94.78 |
| 9 | -59.23 |
| 10 | -107.95 |
| 11 | -91.57 |
| 12 | -64.95 |
| 13 | -73.08 |
| 14 | -89.14 |
| 15 | -69.90 |
| 16 | -66.46 |
| 17 | -94.09 |
| 18 | -70.89 |
| 19 | -45.34 |
| 20 | -82.31 |